{"formula": "CsSbSCl2", "functional": "PBE", "state": "relaxed", "magnetic_moment_mub_per_atom": 0.000, "vol_a3_per_cell": 159, "energy_ev_per_cell": -17.8, "n_ef_per_ev_atom": 0.252, "e_form_raw_ev_per_fu": -4.98, "de_polymorph_mev_per_atom": 0.0, "lattice_angstrom": [[5.562, 0.000, 0.000], [0.000, 5.562, 0.000], [0.000, 0.000, 5.143]], "species": ["Cs", "Sb", "Cl", "Cl", "S"], "fractional_positions": [[0.500, 0.500, 0.500], [0.000, 0.000, 0.000], [0.500, 0.000, 0.000], [0.000, 0.500, 0.000], [0.000, 0.000, 0.500]]}